1.
SrLaPt4 | PBE-GGA | optimized geometry

The spin magnetization is 0.0 μB/f.u. The symmetry is F-43m, No. 216. The value obtained for the energy of formation from the pure elements is -5.96 eV per formula unit.

Geometry as POSCAR:
```
SrLaPt4
1.0
-1.8564 -2.1085 4.8003
-1.8172 -5.2523 0.2124
2.9734 -3.8654 2.6742
Sr Pt La
1 4 1
direct
0.2500 0.2500 0.2500
0.6249 0.6249 0.6249
0.6249 0.6249 0.1254
0.6249 0.1254 0.6249
0.1254 0.6249 0.6249
0.0000 0.0000 0.0000
```


2.
SrLa3Pt | PBE-GGA | optimized geometry

As for the energy relative to the lowest polymorph listed for this composition: 656 meV per atom. The spin magnetization is 0.0 μB/f.u. The symmetry is Cmcm, No. 63. The value obtained for the energy of formation from the pure elements is 1.11 eV per formula unit.

Geometry as POSCAR:
```
SrLa3Pt
1.0
3.5371 -15.2201 0.0000
3.5371 15.2201 0.0000
0.0000 0.0000 5.3026
Pt Sr La
2 2 6
direct
0.7813 0.2187 0.7500
0.2187 0.7813 0.2500
0.1184 0.8816 0.2500
0.8816 0.1184 0.7500
0.5526 0.9666 0.2500
0.4474 0.0334 0.7500
0.0000 0.0000 0.0000
0.0334 0.4474 0.2500
0.0000 0.0000 0.5000
0.9666 0.5526 0.7500
```


3.
SrLa3Pt | PBE-GGA | optimized geometry

As for the energy relative to the lowest polymorph listed for this composition: 36 meV per atom. The spin magnetization is 0.0 μB/f.u. The symmetry is P1, No. 1. The value obtained for the energy of formation from the pure elements is -2.00 eV per formula unit.

Geometry as POSCAR:
```
SrLa3Pt
1.0
7.6492 -0.0051 -0.0114
-2.4580 6.6156 0.0086
4.8626 -0.2226 7.0806
Sr La Pt
2 6 2
direct
0.3288 0.9359 0.2258
0.1221 0.4148 0.4362
0.6481 0.4757 0.4127
0.8293 0.9018 0.7489
0.0725 0.5454 0.9074
0.4988 0.9396 0.5759
0.9735 0.0635 0.0937
0.5327 0.3938 0.8940
0.2346 0.2023 0.6727
0.6474 0.6914 0.1425
```


4.
SrLaPt | PBE-GGA | optimized geometry

As for the energy relative to the lowest polymorph listed for this composition: 54 meV per atom. The spin magnetization is 0.0 μB/f.u. The symmetry is C2/m, No. 12. The value obtained for the energy of formation from the pure elements is -2.25 eV per formula unit.

Geometry as POSCAR:
```
SrLaPt
1.0
-5.0892 -5.1979 -5.2015
0.9235 -3.2888 2.3830
-4.0289 6.8915 11.0722
La Pt Sr
4 4 4
direct
0.4143 0.5000 0.8201
0.4143 0.0000 0.3201
0.5857 0.5000 0.1799
0.5857 0.0000 0.6799
0.2209 0.0000 0.6378
0.7791 0.0000 0.3622
0.2209 0.5000 0.1378
0.7791 0.5000 0.8622
0.1207 0.5000 0.4279
0.8793 0.0000 0.0721
0.8793 0.5000 0.5721
0.1207 0.0000 0.9279
```


5.
SrLa3Pt | PBE-GGA | optimized geometry

As for the energy relative to the lowest polymorph listed for this composition: 243 meV per atom. The spin magnetization is 0.0 μB/f.u. The symmetry is Fd-3m, No. 227. The value obtained for the energy of formation from the pure elements is -0.96 eV per formula unit.

Geometry as POSCAR:
```
SrLa3Pt
1.0
8.7078 -3.5136 5.6116
7.2490 7.1946 3.9181
0.6527 1.7925 10.7714
Pt La Sr
4 12 4
direct
0.6250 0.6250 0.1250
0.6250 0.1250 0.6250
0.6250 0.6250 0.6250
0.1250 0.6250 0.6250
0.3129 0.6871 0.6871
0.9371 0.5629 0.5629
0.6871 0.3129 0.6871
0.5629 0.5629 0.9371
0.6871 0.3129 0.3129
0.9371 0.9371 0.5629
0.9371 0.5629 0.9371
0.3129 0.6871 0.3129
0.5629 0.9371 0.5629
0.3129 0.3129 0.6871
0.6871 0.6871 0.3129
0.5629 0.9371 0.9371
0.1250 0.1250 0.6250
0.6250 0.1250 0.1250
0.1250 0.6250 0.1250
0.1250 0.1250 0.1250
```


6.
SrLa3Pt | PBE-GGA | optimized geometry

As for the energy relative to the lowest polymorph listed for this composition: 20 meV per atom. The spin magnetization is 0.0 μB/f.u. The symmetry is P1, No. 1. The value obtained for the energy of formation from the pure elements is -2.07 eV per formula unit.

Geometry as POSCAR:
```
SrLa3Pt
1.0
10.2587 0.0009 0.0190
4.9537 4.9794 -0.0135
1.9239 4.2589 6.9760
La Pt Sr
6 2 2
direct
0.8579 0.3959 0.1586
0.0113 0.8478 0.0314
0.5114 0.3100 0.2348
0.7698 0.9929 0.6645
0.9300 0.4674 0.5150
0.3630 0.0062 0.1667
0.6254 0.0775 0.9825
0.0866 0.2552 0.8738
0.2524 0.5583 0.6339
0.4801 0.7674 0.7365
```